[1]
This record from Alexandria via LeMat-Bulk describes a relaxed structure of YLuTe3. The functional is PBE.

Cell and atoms, written as CIF:
```
data_YLuTe3
_symmetry_space_group_name_H-M 'P 1'
_symmetry_Int_Tables_number 1
_cell_length_a 7.485
_cell_length_b 7.485
_cell_length_c 7.550
_cell_angle_alpha 99.47
_cell_angle_beta 99.47
_cell_angle_gamma 120.17
loop_
_symmetry_equiv_pos_as_xyz
'x,y,z'
loop_
_atom_site_label
_atom_site_fract_x
_atom_site_fract_y
_atom_site_fract_z
Y1 0.000 0.000 0.000
Y2 0.837 0.163 0.500
Lu1 0.167 0.833 0.500
Lu2 0.502 0.498 0.500
Te1 0.093 0.421 0.254
Te2 0.257 0.247 0.751
Te3 0.416 0.083 0.254
Te4 0.579 0.907 0.746
Te5 0.753 0.743 0.249
Te6 0.917 0.584 0.746
```

E_form (uncorrected): -671 kJ/mol of formula units
Volume: 172.6 Å³/f.u.
E: -5.473 eV per atom
Space group: C2
N(E_F): 0.000 states/eV per atom
Crystal system: monoclinic

---

[2]
This record from Alexandria via LeMat-Bulk describes a relaxed structure of NdEr2Pt9. The functional is PBE.

Cell and atoms, written as CIF:
```
data_NdEr2Pt9
_symmetry_space_group_name_H-M 'P 1'
_symmetry_Int_Tables_number 1
_cell_length_a 9.362
_cell_length_b 9.362
_cell_length_c 9.362
_cell_angle_alpha 33.69
_cell_angle_beta 33.69
_cell_angle_gamma 33.69
loop_
_symmetry_equiv_pos_as_xyz
'x,y,z'
loop_
_atom_site_label
_atom_site_fract_x
_atom_site_fract_y
_atom_site_fract_z
Nd1 0.000 0.000 0.000
Er1 0.140 0.140 0.140
Er2 0.860 0.860 0.860
Pt1 0.081 0.589 0.589
Pt2 0.333 0.333 0.333
Pt3 0.411 0.411 0.919
Pt4 0.411 0.919 0.411
Pt5 0.500 0.500 0.500
Pt6 0.589 0.081 0.589
Pt7 0.589 0.589 0.081
Pt8 0.667 0.667 0.667
Pt9 0.919 0.411 0.411
```

Volume: 225.0 Å³/f.u.
E: -6.646 eV per atom
Space group: R-3m
N(E_F): 0.779 states/eV per atom
Crystal system: trigonal
Energy of formation from the pure elements: -0.96 eV/atom

---

[3]
This record from Alexandria via LeMat-Bulk describes a relaxed structure of Sr2CdSn3Pt4. The functional is PBE.

Cell and atoms, written as CIF:
```
data_Sr2CdSn3Pt4
_symmetry_space_group_name_H-M 'P 1'
_symmetry_Int_Tables_number 1
_cell_length_a 4.690
_cell_length_b 4.690
_cell_length_c 10.796
_cell_angle_alpha 90.00
_cell_angle_beta 90.00
_cell_angle_gamma 90.00
loop_
_symmetry_equiv_pos_as_xyz
'x,y,z'
loop_
_atom_site_label
_atom_site_fract_x
_atom_site_fract_y
_atom_site_fract_z
Sr1 0.000 0.500 0.245
Sr2 0.500 0.000 0.755
Cd1 0.000 0.000 0.500
Sn1 0.000 0.500 0.878
Sn2 0.500 0.000 0.122
Sn3 0.500 0.500 0.500
Pt1 0.000 0.000 0.000
Pt2 0.000 0.500 0.634
Pt3 0.500 0.000 0.366
Pt4 0.500 0.500 0.000
```

Volume: 237.5 Å³/f.u.
E: -4.792 eV per atom
Space group: P-4m2
N(E_F): 0.484 states/eV per atom
Crystal system: tetragonal
Energy of formation from the pure elements: -0.75 eV/atom